Model i:
Compound: Ge2PdF
Source: the Alexandria database
Functional: PBE
Structure: optimized geometry

Unit cell a=4.4022 b=4.4022 c=4.4022 alpha=60.00 beta=60.00 gamma=60.00
With the nearest neighbours (Å) after each atom.
Fractional coordinates of all 4 atoms:
Ge (0.2500, 0.2500, 0.2500)  4 F 2.70, 4 Pd 2.70
Ge (0.7500, 0.7500, 0.7500)  4 F 2.70, 4 Pd 2.70
Pd (0.5000, 0.5000, 0.5000)  8 Ge 2.70
F (0.0000, 0.0000, 0.0000)  8 Ge 2.70

Properties
spin magnetization = 0.00 μB per cell
volume = 15.08 A^3/atom

=====

Model ii:
Compound: Ge2PdF
Source: the Alexandria database
Functional: PBE
Structure: optimized geometry

Unit cell a=5.0143 b=5.0143 c=7.2842 alpha=69.87 beta=69.87 gamma=90.00
With the nearest neighbours (Å) after each atom.
Fractional coordinates of all 8 atoms:
Ge (0.5981, 0.1250, 0.2500)  2 F 2.31, 2 Pd 2.46
Ge (0.1519, 0.6250, 0.2500)  2 F 2.31, 2 Pd 2.46
Ge (0.3750, 0.4019, 0.7500)  2 F 2.31, 2 Pd 2.46
Ge (0.8750, 0.8481, 0.7500)  2 F 2.31, 2 Pd 2.46
Pd (0.0000, 0.0000, 0.0000)  4 Ge 2.46
Pd (0.7500, 0.2500, 0.5000)  4 Ge 2.46
F (0.5000, 0.5000, 0.0000)  4 Ge 2.31
F (0.2500, 0.7500, 0.5000)  4 Ge 2.31

Properties
spin magnetization = 0.00 μB per cell
volume = 20.00 A^3/atom

=====

Which structure is most stable? model i, by 10.2 kJ/mol of atoms over the runner-up.

=====

Model i:
Compound: Ge2PdF2
Source: the Alexandria database
Functional: PBE
Structure: optimized geometry

Unit cell a=3.4536 b=3.4536 c=6.4974 alpha=74.59 beta=74.59 gamma=90.00
With the nearest neighbours (Å) after each atom.
Fractional coordinates of all 5 atoms:
Ge (0.3804, 0.3804, 0.2393)  4 F 2.33
Ge (0.6196, 0.6196, 0.7607)  4 F 2.33
Pd (0.0000, 0.0000, 0.0000)  8 Ge 2.84
F (0.7500, 0.2500, 0.5000)  4 Ge 2.33, 4 F 2.44
F (0.2500, 0.7500, 0.5000)  4 Ge 2.33, 4 F 2.44

Properties
spin magnetization = 0.00 μB per cell
volume = 14.36 A^3/atom

=====

Model ii:
Compound: Ge2PdF2
Source: the Alexandria database
Functional: PBE
Structure: optimized geometry

Unit cell a=6.9338 b=6.9338 c=3.7623 alpha=90.00 beta=90.00 gamma=90.00
With the nearest neighbours (Å) after each atom.
Fractional coordinates of all 10 atoms:
Ge (0.2344, 0.7344, 0.0000)  2 F 2.09
Ge (0.7344, 0.7656, 0.0000)  2 F 2.09
Ge (0.7656, 0.2656, 0.0000)  2 F 2.09
Ge (0.2656, 0.2344, 0.0000)  2 F 2.09
Pd (0.0000, 0.0000, 0.0000)  4 Ge 2.46
Pd (0.5000, 0.5000, 0.0000)  4 Ge 2.46
F (0.1410, 0.6410, 0.5000)  2 Ge 2.09
F (0.6410, 0.8590, 0.5000)  2 Ge 2.09
F (0.8590, 0.3590, 0.5000)  2 Ge 2.09
F (0.3590, 0.1410, 0.5000)  2 Ge 2.09

Properties
spin magnetization = 0.00 μB per cell
volume = 18.09 A^3/atom

=====

Which structure is most stable? model ii, by 13.5 kJ/mol of atoms over the runner-up.

=====

Model i:
Compound: GePd2F
Source: the Alexandria database
Functional: PBE
Structure: optimized geometry

Unit cell a=4.2827 b=4.2827 c=4.2827 alpha=60.00 beta=60.00 gamma=60.00
With the nearest neighbours (Å) after each atom.
Fractional coordinates of all 4 atoms:
Ge (0.5000, 0.5000, 0.5000)  8 Pd 2.62
Pd (0.2500, 0.2500, 0.2500)  4 Ge 2.62, 4 F 2.62
Pd (0.7500, 0.7500, 0.7500)  4 Ge 2.62, 4 F 2.62
F (0.0000, 0.0000, 0.0000)  8 Pd 2.62

Properties
spin magnetization = 0.00 μB per cell
volume = 13.89 A^3/atom

=====

Model ii:
Compound: GePd2F
Source: the Alexandria database
Functional: PBE
Structure: optimized geometry

Unit cell a=6.5798 b=6.5798 c=5.4433 alpha=52.81 beta=52.81 gamma=90.00
With the nearest neighbours (Å) after each atom.
Fractional coordinates of all 8 atoms:
Ge (0.0000, 0.0000, 0.0000)  4 Pd 2.43
Ge (0.7500, 0.2500, 0.5000)  4 Pd 2.43
Pd (0.6250, 0.1250, 0.2500)  2 Ge 2.43, 2 F 2.43
Pd (0.1250, 0.6250, 0.2500)  2 Ge 2.43, 2 F 2.43
Pd (0.3750, 0.3750, 0.7500)  2 Ge 2.43, 2 F 2.43
Pd (0.8750, 0.8750, 0.7500)  2 Ge 2.43, 2 F 2.43
F (0.5000, 0.5000, 0.0000)  4 Pd 2.43
F (0.2500, 0.7500, 0.5000)  4 Pd 2.43

Properties
spin magnetization = 0.00 μB per cell
volume = 15.29 A^3/atom

=====

Which structure is most stable? model i, by 15.1 kJ/mol of atoms over the runner-up.

=====

Model i:
Compound: PmGeF
Source: the Alexandria database
Functional: PBE
Structure: optimized geometry

Unit cell a=4.8436 b=3.9701 c=3.9701 alpha=120.00 beta=90.00 gamma=90.00
With the nearest neighbours (Å) after each atom.
Fractional coordinates of all 3 atoms:
Ge (0.6668, 0.6667, 0.3333)  6 F 3.33-3.34, 6 Pm 3.33
F (0.1664, 0.3333, 0.6667)  3 Pm 2.29
Pm (0.1668, 0.0000, 0.0000)  3 F 2.29

Properties
spin magnetization = 0.00 μB per cell
volume = 22.04 A^3/atom

=====

Model ii:
Compound: PmGeF
Source: the Alexandria database
Functional: PBE
Structure: optimized geometry

Unit cell a=3.8933 b=4.8072 c=8.5229 alpha=115.77 beta=90.00 gamma=113.89
With the nearest neighbours (Å) after each atom.
Fractional coordinates of all 6 atoms:
Pm (0.6709, 0.3418, 0.2666)  3 F 2.41-2.44
Pm (0.3291, 0.6582, 0.7334)  3 F 2.41-2.44
Ge (0.8662, 0.7325, 0.0369)  3 Ge 2.67-2.71
Ge (0.1338, 0.2675, 0.9630)  3 Ge 2.67-2.71
F (0.3141, 0.6283, 0.4398)  3 Pm 2.41-2.44, 2 F 2.69
F (0.6859, 0.3717, 0.5602)  3 Pm 2.41-2.44, 2 F 2.69

Properties
spin magnetization = 0.00 μB per cell
volume = 21.38 A^3/atom

=====

Model iii:
Compound: PmGeF
Source: the Alexandria database
Functional: PBE
Structure: optimized geometry

Unit cell a=4.0596 b=4.1991 c=8.7266 alpha=121.48 beta=90.02 gamma=90.03
With the nearest neighbours (Å) after each atom.
Fractional coordinates of all 6 atoms:
F (0.2501, 0.7366, 0.9899)  4 Pm 2.50-2.67
F (0.7499, 0.2634, 0.0101)  4 Pm 2.50-2.67
Pm (0.7497, 0.5229, 0.7931)  4 F 2.50-2.67
Pm (0.2503, 0.4771, 0.2069)  4 F 2.50-2.67
Ge (0.7504, 0.7100, 0.5069)  2 Ge 2.65
Ge (0.2496, 0.2900, 0.4931)  2 Ge 2.65

Properties
spin magnetization = 0.00 μB per cell
volume = 21.14 A^3/atom

=====

Which structure is most stable? model ii, by 3.8 kJ/mol of atoms over the runner-up.

=====

Model i:
Compound: Pm5Ge3F
Source: the Alexandria database
Functional: PBE
Structure: optimized geometry

Unit cell a=6.4755 b=8.8204 c=8.8204 alpha=120.00 beta=90.00 gamma=90.00
With the nearest neighbours (Å) after each atom.
Fractional coordinates of all 18 atoms:
Pm (0.0000, 0.3333, 0.6667)  6 Ge 3.17, 2 Pm 3.24
Pm (0.5000, 0.6667, 0.3333)  6 Ge 3.17, 2 Pm 3.24
Pm (0.0000, 0.6667, 0.3333)  6 Ge 3.17, 2 Pm 3.24
Pm (0.5000, 0.3333, 0.6667)  6 Ge 3.17, 2 Pm 3.24
Pm (0.7500, 0.7489, 0.0000)  2 F 2.74, 2 Ge 3.02
Pm (0.7500, 0.2511, 0.2511)  2 F 2.74, 2 Ge 3.02
Pm (0.7500, 0.0000, 0.7489)  2 F 2.74, 2 Ge 3.02
Pm (0.2500, 0.2511, 0.0000)  2 F 2.74, 2 Ge 3.02
Pm (0.2500, 0.7489, 0.7489)  2 F 2.74, 2 Ge 3.02
Pm (0.2500, 0.0000, 0.2511)  2 F 2.74, 2 Ge 3.02
Ge (0.7500, 0.3893, 0.0000)  7 Pm 3.02-3.17
Ge (0.7500, 0.6107, 0.6107)  7 Pm 3.02-3.17
Ge (0.7500, 0.0000, 0.3893)  7 Pm 3.02-3.17
Ge (0.2500, 0.6107, 0.0000)  7 Pm 3.02-3.17
Ge (0.2500, 0.3893, 0.3893)  7 Pm 3.02-3.17
Ge (0.2500, 0.0000, 0.6107)  7 Pm 3.02-3.17
F (0.0000, 0.0000, 0.0000)  6 Pm 2.74
F (0.5000, 0.0000, 0.0000)  6 Pm 2.74

Properties
spin magnetization = 0.00 μB per cell
volume = 24.24 A^3/atom

=====

Model ii:
Compound: Pm5Ge3F
Source: the Alexandria database
Functional: PBE
Structure: optimized geometry

Unit cell a=7.9866 b=7.9866 c=9.0248 alpha=116.26 beta=116.26 gamma=90.00
With the nearest neighbours (Å) after each atom.
Fractional coordinates of all 18 atoms:
Pm (0.5000, 0.5000, 0.0000)  4 Ge 3.12
Pm (0.0000, 0.0000, 0.0000)  4 Ge 3.12
Pm (0.1932, 0.0238, 0.7169)  1 F 2.41
Pm (0.5238, 0.6932, 0.7169)  1 F 2.41
Pm (0.6932, 0.1932, 0.7169)  1 F 2.41
Pm (0.0238, 0.5238, 0.7169)  1 F 2.41
Pm (0.8068, 0.9762, 0.2831)  1 F 2.41
Pm (0.4762, 0.3068, 0.2831)  1 F 2.41
Pm (0.3068, 0.8068, 0.2831)  1 F 2.41
Pm (0.9762, 0.4762, 0.2831)  1 F 2.41
Ge (0.2500, 0.2500, 0.5000)  10 Pm 3.35-3.52
Ge (0.7500, 0.7500, 0.5000)  10 Pm 3.35-3.52
Ge (0.1333, 0.3667, 0.0000)  1 Ge 3.01, 8 Pm 3.02-3.12
Ge (0.8667, 0.6333, 0.0000)  1 Ge 3.01, 8 Pm 3.02-3.12
Ge (0.6333, 0.1333, 0.0000)  1 Ge 3.01, 8 Pm 3.02-3.12
Ge (0.3667, 0.8667, 0.0000)  1 Ge 3.01, 8 Pm 3.02-3.12
F (0.2500, 0.7500, 0.5000)  4 Pm 2.41
F (0.7500, 0.2500, 0.5000)  4 Pm 2.41

Properties
spin magnetization = 3.02 μB per cell
volume = 24.95 A^3/atom

=====

Which structure is most stable? model i, by 2.7 kJ/mol of atoms over the runner-up.

=====

Model i:
Compound: Pm4Ge2F
Source: the Alexandria database
Functional: PBE
Structure: optimized geometry

Unit cell a=6.6284 b=6.8573 c=8.5406 alpha=90.00 beta=108.49 gamma=90.00
With the nearest neighbours (Å) after each atom.
Fractional coordinates of all 14 atoms:
Pm (0.5146, 0.4978, 0.2567)  1 F 2.42
Pm (0.0758, 0.7500, 0.8886)  1 F 2.46
Pm (0.9242, 0.2500, 0.1114)  1 F 2.46
Pm (0.5146, 0.0022, 0.2567)  1 F 2.42
Pm (0.9399, 0.2500, 0.6015)  1 F 2.47
Pm (0.4854, 0.9978, 0.7433)  1 F 2.42
Pm (0.4854, 0.5022, 0.7433)  1 F 2.42
Pm (0.0601, 0.7500, 0.3985)  1 F 2.47
Ge (0.7176, 0.7500, 0.0485)  6 Pm 3.08-3.13, 1 F 3.32
Ge (0.2824, 0.2500, 0.9515)  6 Pm 3.08-3.13, 1 F 3.32
Ge (0.2768, 0.2500, 0.4382)  6 Pm 2.98-3.07
Ge (0.7232, 0.7500, 0.5618)  6 Pm 2.98-3.07
F (0.2456, 0.7500, 0.1894)  4 Pm 2.42-2.47
F (0.7544, 0.2500, 0.8106)  4 Pm 2.42-2.47

Properties
spin magnetization = 0.00 μB per cell
volume = 26.30 A^3/atom

=====

Model ii:
Compound: Pm4Ge2F
Source: the Alexandria database
Functional: PBE
Structure: optimized geometry

Unit cell a=4.6696 b=4.6696 c=8.8726 alpha=105.26 beta=105.26 gamma=90.00
With the nearest neighbours (Å) after each atom.
Fractional coordinates of all 7 atoms:
Ge (0.6322, 0.6322, 0.2644)  5 Pm 3.02-3.19
Ge (0.3678, 0.3678, 0.7356)  5 Pm 3.02-3.19
F (0.0000, 0.0000, 0.0000)  4 Pm 2.33
Pm (0.8153, 0.8153, 0.6306)  1 Ge 3.02, 1 F 3.04
Pm (0.1847, 0.1847, 0.3694)  1 Ge 3.02, 1 F 3.04
Pm (0.0000, 0.5000, 0.0000)  2 F 2.33
Pm (0.5000, 0.0000, 0.0000)  2 F 2.33

Properties
spin magnetization = 1.91 μB per cell
volume = 25.65 A^3/atom

=====

Which structure is most stable? model i, by 10.8 kJ/mol of atoms over the runner-up.

=====

Model i:
Compound: GePt3F
Source: the Alexandria database
Functional: PBE
Structure: optimized geometry

Unit cell a=4.4161 b=4.4161 c=4.4161 alpha=90.00 beta=90.00 gamma=90.00
With the nearest neighbours (Å) after each atom.
Fractional coordinates of all 5 atoms:
Ge (0.5000, 0.5000, 0.5000)  12 Pt 3.12
Pt (0.0000, 0.5000, 0.0000)  2 F 2.21
Pt (0.0000, 0.0000, 0.5000)  2 F 2.21
Pt (0.5000, 0.0000, 0.0000)  2 F 2.21
F (0.0000, 0.0000, 0.0000)  6 Pt 2.21

Properties
spin magnetization = 0.00 μB per cell
volume = 17.22 A^3/atom

=====

Model ii:
Compound: GePt3F
Source: the Alexandria database
Functional: PBE
Structure: optimized geometry

Unit cell a=4.6580 b=4.6580 c=4.6580 alpha=90.00 beta=90.00 gamma=90.00
With the nearest neighbours (Å) after each atom.
Fractional coordinates of all 5 atoms:
Ge (0.0000, 0.0000, 0.0000)  6 Pt 2.33
Pt (0.0000, 0.5000, 0.0000)  2 Ge 2.33
Pt (0.0000, 0.0000, 0.5000)  2 Ge 2.33
Pt (0.5000, 0.0000, 0.0000)  2 Ge 2.33
F (0.5000, 0.5000, 0.5000)  12 Pt 3.29

Properties
spin magnetization = 0.00 μB per cell
volume = 20.21 A^3/atom

=====

Which structure is most stable? model ii, by 9.8 kJ/mol of atoms over the runner-up.

=====

Model i:
Compound: Ge2PtF
Source: the Alexandria database
Functional: PBE
Structure: optimized geometry

Unit cell a=5.2573 b=5.2573 c=7.0952 alpha=68.25 beta=68.25 gamma=90.00
With the nearest neighbours (Å) after each atom.
Fractional coordinates of all 8 atoms:
Ge (0.6138, 0.1250, 0.2500)  2 F 2.36, 2 Pt 2.43
Ge (0.1362, 0.6250, 0.2500)  2 F 2.36, 2 Pt 2.43
Ge (0.3750, 0.3862, 0.7500)  2 F 2.36, 2 Pt 2.43
Ge (0.8750, 0.8638, 0.7500)  2 F 2.36, 2 Pt 2.43
Pt (0.0000, 0.0000, 0.0000)  4 Ge 2.43
Pt (0.7500, 0.2500, 0.5000)  4 Ge 2.43
F (0.5000, 0.5000, 0.0000)  4 Ge 2.36
F (0.2500, 0.7500, 0.5000)  4 Ge 2.36

Properties
spin magnetization = 0.00 μB per cell
volume = 20.88 A^3/atom

=====

Model ii:
Compound: Ge2PtF
Source: the Alexandria database
Functional: PBE
Structure: optimized geometry

Unit cell a=4.3933 b=4.3933 c=4.3933 alpha=60.00 beta=60.00 gamma=60.00
With the nearest neighbours (Å) after each atom.
Fractional coordinates of all 4 atoms:
Ge (0.2500, 0.2500, 0.2500)  4 F 2.69, 4 Pt 2.69
Ge (0.7500, 0.7500, 0.7500)  4 F 2.69, 4 Pt 2.69
Pt (0.5000, 0.5000, 0.5000)  8 Ge 2.69
F (0.0000, 0.0000, 0.0000)  8 Ge 2.69

Properties
spin magnetization = 0.00 μB per cell
volume = 14.99 A^3/atom

=====

Which structure is most stable? model ii, by 8.7 kJ/mol of atoms over the runner-up.